Record 1
# PrEu2Ga

Crystalline PrEu2Ga at its relaxed geometry (GGA-PBE, the Alexandria database).

```
PrEu2Ga
1.0
0.0000 3.9230 3.9230
3.9230 0.0000 3.9230
3.9230 3.9230 0.0000
Pr Eu Ga
1 2 1
direct
0.0000 0.0000 0.0000 Pr
0.2500 0.2500 0.2500 Eu
0.7500 0.7500 0.7500 Eu
0.5000 0.5000 0.5000 Ga
```

Computed properties:
Electronic total energy in eV/atom: -7.117
Volume in A^3/atom: 30.2
Polymorph energy (0 for the lowest one) in eV per formula unit: 0.65
ρ in g cm⁻³: 7.1


Record 2
# MnBe2Rh

Crystalline MnBe2Rh at its relaxed geometry (GGA-PBE, the Alexandria database).

```
MnBe2Rh
1.0
0.0000 2.7641 2.7641
2.7641 0.0000 2.7641
2.7641 2.7641 0.0000
Mn Be Rh
1 2 1
direct
0.0000 0.0000 0.0000 Mn
0.2500 0.2500 0.2500 Be
0.7500 0.7500 0.7500 Be
0.5000 0.5000 0.5000 Rh
```

Computed properties:
Electronic total energy in eV/atom: -6.414
Volume in A^3/atom: 10.6
Polymorph energy (0 for the lowest one) in eV per formula unit: 0.00
ρ in g cm⁻³: 6.9


Record 3
# Ca2BeTlSi

Crystalline Ca2BeTlSi at its relaxed geometry (GGA-PBE, the Alexandria database).

```
Ca2BeTlSi
1.0
5.6178 0.0000 0.0000
0.0000 5.6178 0.0000
0.0000 0.0000 5.2160
Ca Be Tl Si
2 1 1 1
direct
0.0000 0.5000 0.0000 Ca
0.5000 0.0000 0.0000 Ca
0.0000 0.0000 0.5000 Be
0.5000 0.5000 0.5000 Tl
0.5000 0.5000 0.0000 Si
```

Computed properties:
Electronic total energy in eV/atom: -2.622
Volume in A^3/atom: 32.9
ρ in g cm⁻³: 3.2
E_form (uncorrected) in eV per formula unit: 2.4